DFT (meta-GGA SCAN) results for a crystal of AuSe3 relaxed with PBEsol.

a b c (Å): 6.8479 6.8091 8.3992
angles (deg): 90.00 90.00 90.00
Sites, in units of the cell vectors:
1 Se 0.5103 0.2231 0.3442
2 Se 0.4897 0.2769 0.8442
3 Se 0.5103 0.7231 0.1558
4 Au 0.2500 0.0283 0.7450
5 Se 0.0103 0.7769 0.6558
6 Se 0.2500 0.7228 0.3825
7 Se 0.0103 0.2769 0.8442
8 Se 0.2500 0.2228 0.1175
9 Se 0.9897 0.2231 0.3442
10 Au 0.2500 0.5283 0.7550
11 Se 0.4897 0.7769 0.6558
12 Se 0.7500 0.2772 0.6175
13 Se 0.9897 0.7231 0.1558
14 Au 0.7500 0.9717 0.2550
15 Se 0.7500 0.7772 0.8825
16 Au 0.7500 0.4717 0.2450

Calculated values
theoretical density	7.36	g/cm3
formation energy (no corrections)	0.14	eV per formula unit